GGA+U FeAgIO2, optimized geometry; energy relative to the lowest polymorph listed for this composition = 0.0000 eV/atom; total DFT energy (no corrections) = -21.468 eV for the cell shown
1.0
3.8928 0.0000 0.0000
0.0000 3.8928 0.0000
0.0000 0.0000 6.3533
Fe Ag I O
1 1 1 2
direct
0.0000 0.0000 0.0000 Fe
0.5000 0.5000 0.5000 Ag
0.0000 0.0000 0.5000 I
0.0000 0.5000 0.0000 O
0.5000 0.0000 0.0000 O